# SrLaPrTm, optimized geometry, DFT PBE-GGA
# DOS(E_F) = 23.18 states/eV per cell
# Calculated total energy = -3.7734 eV per atom
# Total moment = 0.00 μB/atom
# Formation energy from the elements = 0.19 eV/atom
# Calculated density = 5.9 g cm⁻³
data_SrLaPrTm
_symmetry_space_group_name_H-M 'F -4 3 m'
_symmetry_Int_Tables_number 216
_symmetry_space_group_name_Hall 'F -4 2 3'
_cell_length_a 8.4734
_cell_length_b 8.4734
_cell_length_c 8.4734
_cell_angle_alpha 90.00
_cell_angle_beta 90.00
_cell_angle_gamma 90.00
loop_
_atom_site_label
_atom_site_type_symbol
_atom_site_fract_x
_atom_site_fract_y
_atom_site_fract_z
_atom_site_occupancy
Sr1 Sr 0.0000 0.0000 0.0000 1
La1 La 0.2500 0.2500 0.7500 1
Pr1 Pr 0.2500 0.2500 0.2500 1
Tm1 Tm 0.0000 0.0000 0.5000 1